1.
BaMnAl2Cr (GGA-PBE, relaxed); space group = P4/mmm, No. 123; total moment = 2.91 μB/f.u.; ΔE_f = 6.6 eV/f.u.
1.0
-3.9153 1.9700 -2.1620
1.6559 -2.1338 -4.9432
-2.5478 -4.0715 0.9040
Cr Mn Ba Al
1 1 1 2
direct
0.0000 0.0000 0.0000
0.5000 0.5000 0.5000
0.0000 0.5000 0.0000
0.0000 0.0000 0.5000
0.5000 0.0000 0.0000

=====

2.
LiPmTc2O8 (GGA-PBE, relaxed); space group = I-4, No. 82; total moment = 2.03 μB/f.u.; ΔE_f (raw) = -181.5 kJ/mol of atoms
1.0
5.2445 0.0000 0.0000
0.0000 5.2445 0.0000
-2.6223 -2.6223 5.7550
Li Pm Tc O
1 1 2 8
direct
0.7500 0.2500 0.5000
0.0000 0.0000 0.0000
0.5000 0.5000 0.0000
0.2500 0.7500 0.5000
0.7339 0.8317 0.1601
0.4262 0.3284 0.1601
0.5796 0.6806 0.6652
0.0856 0.9846 0.6652
0.0154 0.4204 0.3348
0.3194 0.9144 0.3348
0.1683 0.5738 0.8399
0.6716 0.2661 0.8399

=====

3.
Tl2InPt (GGA-PBE, relaxed); space group = Pmmm, No. 47; total moment = 0.00 μB/f.u.; energy relative to the lowest polymorph listed for this composition = 0.2272 eV/atom; ΔE_f = 0.5 eV/f.u.
1.0
-1.8455 3.1072 1.8806
-3.3562 -2.9235 1.5367
2.6905 -0.9103 4.1443
In Pt Tl
1 1 2
direct
0.5000 0.0000 0.5000
0.0000 0.5000 0.5000
0.0000 0.0000 0.0000
0.5000 0.5000 0.0000